# 1
## BeAlAu (PBE-GGA)

Data for a relaxed BeAlAu crystal.

Properties
spin magnetization	0.000	μB per formula unit
energy of formation from the pure elements	-0.4	eV/f.u.
excess energy over the best structure of this formula in the dataset	70	meV/atom

a = 4.5138 Å, b = 4.5138 Å, c = 4.5138 Å
α = 136.79°, β = 136.79°, γ = 62.77°
Last column: nearest neighbours and their distance in Å.
Fractional coordinates of all 3 atoms:
Al1 0.9994 0.9994 0.0000  5 Be 2.54-2.69, 5 Au 2.56-2.68
Be1 0.6693 0.6693 0.0000  5 Al 2.54-2.69, 5 Au 2.61-2.66
Au1 0.3313 0.3313 0.0000  5 Al 2.56-2.68, 5 Be 2.61-2.66


# 2
## BeAl4Au (PBE-GGA)

Data for a relaxed BeAl4Au crystal.

Properties
spin magnetization	0.000	μB per formula unit
energy of formation from the pure elements	2.4	eV/f.u.

a = 5.2339 Å, b = 5.2339 Å, c = 5.2339 Å
α = 60.00°, β = 60.00°, γ = 60.00°
Last column: nearest neighbours and their distance in Å.
Fractional coordinates of all 6 atoms:
Al1 0.8776 0.3741 0.3741  6 Al 2.60-2.63
Au1 0.7500 0.7500 0.7500  12 Al 3.07, 4 Be 3.21
Al2 0.3741 0.3741 0.3741  6 Al 2.60-2.63
Be1 0.0000 0.0000 0.0000  12 Al 3.07, 4 Au 3.21
Al3 0.3741 0.3741 0.8776  6 Al 2.60-2.63
Al4 0.3741 0.8776 0.3741  6 Al 2.60-2.63


# 3
## BeAl2Au (PBE-GGA)

Data for a relaxed BeAl2Au crystal.

Properties
spin magnetization	0.000	μB per formula unit
energy of formation from the pure elements	0.0	eV/f.u.

a = 8.2346 Å, b = 8.2346 Å, c = 8.2346 Å
α = 20.69°, β = 20.69°, γ = 20.69°
Last column: nearest neighbours and their distance in Å.
Fractional coordinates of all 4 atoms:
Al1 0.9941 0.9941 0.9941  3 Be 2.53, 3 Au 2.75
Al2 0.5059 0.5059 0.5059  3 Be 2.53, 3 Au 2.75
Au1 0.7500 0.7500 0.7500  6 Al 2.75, 6 Au 2.96
Be1 0.2500 0.2500 0.2500  6 Al 2.53


# 4
## BeAlAu4 (PBE-GGA)

Data for a relaxed BeAlAu4 crystal.

Properties
spin magnetization	0.000	μB per formula unit
energy of formation from the pure elements	-1.1	eV/f.u.
excess energy over the best structure of this formula in the dataset	21	meV/atom

a = 5.8505 Å, b = 6.1016 Å, c = 7.3910 Å
α = 114.41°, β = 116.21°, γ = 89.98°
Last column: nearest neighbours and their distance in Å.
Fractional coordinates of all 12 atoms:
Au1 0.7622 0.4956 0.5037  2 Be 2.49-2.56, 2 Al 2.60-2.66
Au2 0.0000 0.2299 0.0000  2 Be 2.57, 2 Al 2.60, 1 Au 2.81
Al1 0.6240 0.3773 0.7548  8 Au 2.60-2.66
Be1 0.8770 0.1282 0.2548  8 Au 2.49-2.57
Au3 0.2375 0.9920 0.4960  2 Be 2.49-2.57, 2 Al 2.60-2.65
Au4 0.2378 0.5044 0.4963  2 Be 2.49-2.56, 2 Al 2.60-2.66
Au5 0.4997 0.2369 0.9997  2 Be 2.49-2.50, 2 Al 2.64
Al2 0.3760 0.6227 0.2452  8 Au 2.60-2.66
Au6 0.0000 0.7701 0.0000  2 Be 2.57, 2 Al 2.60, 1 Au 2.81
Au7 0.5003 0.7631 0.0003  2 Be 2.49-2.50, 2 Al 2.64
Au8 0.7625 0.0080 0.5040  2 Be 2.49-2.57, 2 Al 2.60-2.65
Be2 0.1230 0.8718 0.7452  8 Au 2.49-2.57


# 5
## Be2AlAu (PBE-GGA)

Data for a relaxed Be2AlAu crystal.

Properties
spin magnetization	0.000	μB per formula unit
energy of formation from the pure elements	0.3	eV/f.u.

a = 4.0830 Å, b = 2.9198 Å, c = 4.6030 Å
α = 95.22°, β = 90.00°, γ = 90.00°
Last column: nearest neighbours and their distance in Å.
Fractional coordinates of all 4 atoms:
Al1 0.5000 0.2500 0.2500  4 Au 2.61-2.84, 8 Be 2.62-2.85, 2 Al 2.92
Be1 0.0000 0.7882 0.0161  2 Be 2.18-2.44, 2 Au 2.38
Au1 0.5000 0.7500 0.7500  4 Be 2.38, 2 Al 2.61
Be2 0.0000 0.7118 0.4839  2 Be 2.18-2.44, 2 Au 2.38


# 6
## BeAl2Au (PBE-GGA)

Data for a relaxed BeAl2Au crystal.

Properties
spin magnetization	0.000	μB per formula unit
energy of formation from the pure elements	-0.1	eV/f.u.

a = 3.1304 Å, b = 4.6411 Å, c = 5.0788 Å
α = 55.20°, β = 90.00°, γ = 90.00°
Last column: nearest neighbours and their distance in Å.
Fractional coordinates of all 4 atoms:
Al1 0.0000 0.0000 0.0000  2 Be 2.54, 4 Au 2.75, 4 Al 2.80
Au1 0.5000 0.5000 0.5000  6 Al 2.54-2.75, 4 Be 2.80
Be1 0.0000 0.0000 0.5000  6 Al 2.54-2.75, 4 Au 2.80
Al2 0.5000 0.5000 0.0000  2 Au 2.54, 4 Be 2.75, 4 Al 2.80